Entry a
Compound: ZrPb2Cl
Source: the Alexandria database
Functional: PBEsol
Structure: relaxed

Results
DOS at the Fermi energy = 1.45 states/eV/f.u.
total magnetization = 0.00 μB/f.u.
SG = Cm

a = 3.2715 Å, b = 5.6292 Å, c = 6.0065 Å
α = 110.12°, β = 105.80°, γ = 90.00°
Positions (direct):
Pb 0.9667 0.9456 0.9334
Pb 0.8052 0.3566 0.6104
Zr 0.5467 0.4329 0.0934
Cl 0.1814 0.7649 0.3629

=====

Entry b
Compound: ZrPb2Cl
Source: the Alexandria database
Functional: PBEsol
Structure: relaxed

Results
DOS at the Fermi energy = 1.97 states/eV/f.u.
total magnetization = 0.00 μB/f.u.
SG = P4/mmm

a = 3.1827 Å, b = 5.4865 Å, c = 5.4865 Å
α = 90.00°, β = 90.00°, γ = 90.00°
Positions (direct):
Pb 0.0000 0.0000 0.5000
Pb 0.0000 0.5000 0.0000
Zr 0.5000 0.5000 0.5000
Cl 0.5000 0.0000 0.0000

=====

Q: Which of them is the most stable? A: entry a.

=====

Entry a
Compound: Sb2TePdCl
Source: the Alexandria database
Functional: PBEsol
Structure: relaxed

Results
DOS at the Fermi energy = 7.70 states/eV/f.u.
total magnetization = 0.00 μB/f.u.
SG = P4/mmm

a = 5.1697 Å, b = 5.1971 Å, c = 5.1971 Å
α = 90.00°, β = 90.00°, γ = 90.00°
Positions (direct):
Sb 0.0000 0.0000 0.5000
Sb 0.0000 0.5000 0.0000
Te 0.5000 0.0000 0.0000
Pd 0.0000 0.0000 0.0000
Cl 0.5000 0.5000 0.5000

=====

Entry b
Compound: Sb2TePdCl
Source: the Alexandria database
Functional: PBEsol
Structure: relaxed

Results
DOS at the Fermi energy = 5.53 states/eV/f.u.
total magnetization = 0.00 μB/f.u.
SG = P4/mmm

a = 5.1901 Å, b = 5.1901 Å, c = 5.1164 Å
α = 90.00°, β = 90.00°, γ = 90.00°
Positions (direct):
Sb 0.0000 0.5000 0.0000
Sb 0.5000 0.0000 0.0000
Te 0.0000 0.0000 0.5000
Pd 0.5000 0.5000 0.5000
Cl 0.0000 0.0000 0.0000

=====

Q: Which of them is the most stable? A: entry a.

=====

Entry a
Compound: Pt3Cl
Source: the Alexandria database
Functional: PBEsol
Structure: relaxed

Results
DOS at the Fermi energy = 4.89 states/eV/f.u.
total magnetization = 0.00 μB/f.u.
SG = R-3m

a = 2.8072 Å, b = 5.1366 Å, c = 5.1366 Å
α = 116.76°, β = 100.50°, γ = 100.50°
Positions (direct):
Pt 0.5000 0.0000 0.5000
Pt 0.5000 0.5000 0.0000
Pt 0.0000 0.5000 0.5000
Cl 0.0000 0.0000 0.0000

=====

Entry b
Compound: Pt3Cl
Source: the Alexandria database
Functional: PBEsol
Structure: relaxed

Results
DOS at the Fermi energy = 4.75 states/eV/f.u.
total magnetization = 0.00 μB/f.u.
SG = Cmmm

a = 2.7218 Å, b = 4.7817 Å, c = 4.7817 Å
α = 90.27°, β = 90.00°, γ = 90.00°
Positions (direct):
Pt 0.5000 0.0000 0.5000
Pt 0.5000 0.5000 0.0000
Pt 0.0000 0.5000 0.5000
Cl 0.0000 0.0000 0.0000

=====

Q: Which of them is the most stable? A: entry b.

=====

Entry a
Compound: RePtCl
Source: the Alexandria database
Functional: PBEsol
Structure: relaxed

Results
DOS at the Fermi energy = 4.00 states/eV/f.u.
total magnetization = 0.00 μB/f.u.
SG = P3m1

a = 2.7588 Å, b = 4.3173 Å, c = 4.3173 Å
α = 120.00°, β = 90.00°, γ = 90.00°
Positions (direct):
Re 0.1692 0.6667 0.3333
Pt 0.6682 0.3333 0.6667
Cl 0.1626 0.0000 0.0000

=====

Entry b
Compound: RePtCl
Source: the Alexandria database
Functional: PBEsol
Structure: relaxed

Results
DOS at the Fermi energy = 1.75 states/eV/f.u.
total magnetization = 0.00 μB/f.u.
SG = F-43m

a = 4.0597 Å, b = 4.0597 Å, c = 4.0597 Å
α = 60.00°, β = 60.00°, γ = 60.00°
Positions (direct):
Re 0.5000 0.5000 0.5000
Pt 0.0000 0.0000 0.0000
Cl 0.2500 0.2500 0.2500

=====

Q: Which of them is the most stable? A: entry a.

=====

Entry a
Compound: RuPtCl2
Source: the Alexandria database
Functional: PBEsol
Structure: relaxed

Results
DOS at the Fermi energy = 4.52 states/eV/f.u.
total magnetization = 0.03 μB/f.u.
SG = I4/mmm

a = 4.2001 Å, b = 4.5054 Å, c = 4.2001 Å
α = 117.78°, β = 90.00°, γ = 117.78°
Positions (direct):
Ru 0.0000 0.0000 0.0000
Pt 0.5000 0.0000 0.5000
Cl 0.7500 0.5000 0.2500
Cl 0.2500 0.5000 0.7500

=====

Entry b
Compound: RuPtCl2
Source: the Alexandria database
Functional: PBEsol
Structure: relaxed

Results
DOS at the Fermi energy = 4.27 states/eV/f.u.
total magnetization = 0.00 μB/f.u.
SG = R-3m

a = 2.9691 Å, b = 2.9691 Å, c = 8.2745 Å
α = 79.66°, β = 79.66°, γ = 60.00°
Positions (direct):
Ru 0.0000 0.0000 0.0000
Pt 0.5000 0.5000 0.5000
Cl 0.2625 0.2625 0.2125
Cl 0.7375 0.7375 0.7875

=====

Entry c
Compound: RuPtCl2
Source: the Alexandria database
Functional: PBEsol
Structure: relaxed

Results
DOS at the Fermi energy = 3.13 states/eV/f.u.
total magnetization = 0.00 μB/f.u.
SG = Cmmm

a = 2.8276 Å, b = 2.9729 Å, c = 8.4274 Å
α = 90.00°, β = 90.00°, γ = 118.40°
Positions (direct):
Ru 0.5000 0.0000 0.0000
Pt 0.5000 0.0000 0.5000
Cl 0.0000 0.0000 0.7758
Cl 0.0000 0.0000 0.2242

=====

Q: Which of them is the most stable? A: entry c.

=====

Entry a
Compound: TaPtSCl2
Source: the Alexandria database
Functional: PBEsol
Structure: relaxed

Results
DOS at the Fermi energy = 7.09 states/eV/f.u.
total magnetization = 0.00 μB/f.u.
SG = P4/mmm

a = 4.6470 Å, b = 4.6470 Å, c = 4.7782 Å
α = 90.00°, β = 90.00°, γ = 90.00°
Positions (direct):
S 0.0000 0.0000 0.5000
Cl 0.0000 0.5000 0.0000
Cl 0.5000 0.0000 0.0000
Pt 0.5000 0.5000 0.5000
Ta 0.0000 0.0000 0.0000

=====

Entry b
Compound: TaPtSCl2
Source: the Alexandria database
Functional: PBEsol
Structure: relaxed

Results
DOS at the Fermi energy = 4.79 states/eV/f.u.
total magnetization = 2.90 μB/f.u.
SG = P4/mmm

a = 4.6339 Å, b = 4.6339 Å, c = 4.7777 Å
α = 90.00°, β = 90.00°, γ = 90.00°
Last column: magnetic moment on the atom in μB.
Positions (direct):
S 0.0000 0.0000 0.5000  -0.11
Cl 0.0000 0.5000 0.0000  -0.02
Cl 0.5000 0.0000 0.0000  -0.02
Pt 0.0000 0.0000 0.0000  -0.02
Ta 0.5000 0.5000 0.5000  2.05

=====

Q: Which of them is the most stable? A: entry a.

=====

Entry a
Compound: ZrPtS2Cl
Source: the Alexandria database
Functional: PBEsol
Structure: relaxed

Results
DOS at the Fermi energy = 5.47 states/eV/f.u.
total magnetization = 0.58 μB/f.u.
SG = P4/mmm

a = 4.7588 Å, b = 4.9098 Å, c = 4.9098 Å
α = 90.00°, β = 90.00°, γ = 90.00°
Last column: magnetic moment on the atom in μB.
Positions (direct):
S 0.0000 0.0000 0.5000  0.05
S 0.0000 0.5000 0.0000  0.05
Zr 0.0000 0.0000 0.0000  0.01
Pt 0.5000 0.5000 0.5000  0.42
Cl 0.5000 0.0000 0.0000  0.00

=====

Entry b
Compound: ZrPtS2Cl
Source: the Alexandria database
Functional: PBEsol
Structure: relaxed

Results
DOS at the Fermi energy = 4.26 states/eV/f.u.
total magnetization = 1.05 μB/f.u.
SG = P4/mmm

a = 4.5663 Å, b = 4.6690 Å, c = 4.6690 Å
α = 90.00°, β = 90.00°, γ = 90.00°
Last column: magnetic moment on the atom in μB.
Positions (direct):
S 0.0000 0.0000 0.5000  -0.05
S 0.0000 0.5000 0.0000  -0.05
Zr 0.5000 0.5000 0.5000  0.84
Pt 0.0000 0.0000 0.0000  -0.01
Cl 0.5000 0.0000 0.0000  -0.02

=====

Q: Which of them is the most stable? A: entry a.

=====

Entry a
Compound: SbPtCl2
Source: the Alexandria database
Functional: PBEsol
Structure: relaxed

Results
DOS at the Fermi energy = 2.40 states/eV/f.u.
total magnetization = 0.00 μB/f.u.
SG = P4/mmm

a = 4.2451 Å, b = 4.2559 Å, c = 4.2559 Å
α = 90.00°, β = 90.00°, γ = 90.00°
Positions (direct):
Sb 0.5000 0.0000 0.0000
Pt 0.5000 0.5000 0.5000
Cl 0.0000 0.0000 0.5000
Cl 0.0000 0.5000 0.0000

=====

Entry b
Compound: SbPtCl2
Source: the Alexandria database
Functional: PBEsol
Structure: relaxed

Results
DOS at the Fermi energy = 3.30 states/eV/f.u.
total magnetization = 0.00 μB/f.u.
SG = R3m

a = 3.7696 Å, b = 3.7696 Å, c = 7.9424 Å
α = 76.27°, β = 76.27°, γ = 60.00°
Positions (direct):
Sb 0.2333 0.2333 0.3001
Pt 0.5057 0.5057 0.4828
Cl 0.9831 0.9831 0.0506
Cl 0.7778 0.7778 0.6666

=====

Q: Which of them is the most stable? A: entry b.

=====

Entry a
Compound: Sc2PtCl
Source: the Alexandria database
Functional: PBEsol
Structure: relaxed

Results
DOS at the Fermi energy = 1.20 states/eV/f.u.
total magnetization = 0.93 μB/f.u.
SG = R3m

a = 3.3401 Å, b = 3.3401 Å, c = 9.1748 Å
α = 79.51°, β = 79.51°, γ = 60.00°
Last column: magnetic moment on the atom in μB.
Positions (direct):
Sc 0.9897 0.9897 0.0308  0.04
Sc 0.7599 0.7599 0.7203  0.53
Pt 0.2620 0.2620 0.2139  0.01
Cl 0.4883 0.4883 0.5350  0.00

=====

Entry b
Compound: Sc2PtCl
Source: the Alexandria database
Functional: PBEsol
Structure: relaxed

Results
DOS at the Fermi energy = 3.00 states/eV/f.u.
total magnetization = 0.00 μB/f.u.
SG = P4/mmm

a = 3.7244 Å, b = 3.7244 Å, c = 5.4485 Å
α = 90.00°, β = 90.00°, γ = 90.00°
Positions (direct):
Sc 0.0000 0.0000 0.5000
Sc 0.5000 0.5000 0.0000
Pt 0.5000 0.5000 0.5000
Cl 0.0000 0.0000 0.0000

=====

Q: Which of them is the most stable? A: entry b.

=====

Entry a
Compound: ScPtCl2
Source: the Alexandria database
Functional: PBEsol
Structure: relaxed

Results
DOS at the Fermi energy = 2.75 states/eV/f.u.
total magnetization = 0.00 μB/f.u.
SG = P4mm

a = 3.1359 Å, b = 3.1359 Å, c = 7.7730 Å
α = 90.00°, β = 90.00°, γ = 89.98°
Positions (direct):
Sc 0.5000 0.5000 0.2662
Pt 0.0000 0.0000 0.4755
Cl 0.0000 0.0000 0.0629
Cl 0.5000 0.5000 0.6954

=====

Entry b
Compound: ScPtCl2
Source: the Alexandria database
Functional: PBEsol
Structure: relaxed

Results
DOS at the Fermi energy = 1.74 states/eV/f.u.
total magnetization = 0.00 μB/f.u.
SG = I-4m2

a = 3.7429 Å, b = 3.7429 Å, c = 5.4963 Å
α = 109.91°, β = 109.91°, γ = 90.00°
Positions (direct):
Sc 0.2500 0.7500 0.5000
Pt 0.5000 0.5000 0.0000
Cl 0.0000 0.0000 0.0000
Cl 0.7500 0.2500 0.5000

=====

Entry c
Compound: ScPtCl2
Source: the Alexandria database
Functional: PBEsol
Structure: relaxed

Results
DOS at the Fermi energy = 3.53 states/eV/f.u.
total magnetization = 0.00 μB/f.u.
SG = P2/m

a = 4.2209 Å, b = 4.2286 Å, c = 4.2988 Å
α = 90.61°, β = 90.00°, γ = 90.00°
Positions (direct):
Sc 0.5000 0.5000 0.0000
Pt 0.5000 0.0000 0.5000
Cl 0.0000 0.2597 0.2410
Cl 0.0000 0.7403 0.7590

=====

Q: Which of them is the most stable? A: entry a.

=====

Entry a
Compound: PtSeCl2
Source: the Alexandria database
Functional: PBEsol
Structure: relaxed

Results
total magnetization = 0.00 μB/f.u.
SG = Cm

a = 3.5429 Å, b = 3.7302 Å, c = 7.7573 Å
α = 101.85°, β = 90.00°, γ = 118.35°
Positions (direct):
Pt 0.4868 0.9736 0.5236
Se 0.1769 0.3538 0.7039
Cl 0.0119 0.0238 0.9435
Cl 0.8244 0.6488 0.3290

=====

Entry b
Compound: PtSeCl2
Source: the Alexandria database
Functional: PBEsol
Structure: relaxed

Results
total magnetization = 0.00 μB/f.u.
SG = Imm2

a = 3.4868 Å, b = 4.8322 Å, c = 7.6472 Å
α = 108.42°, β = 103.18°, γ = 90.00°
Positions (direct):
Pt 0.4609 0.4609 0.9218
Se 0.0725 0.5725 0.1449
Cl 0.1186 0.1186 0.2372
Cl 0.8480 0.3480 0.6961

=====

Q: Which of them is the most stable? A: entry a.

=====

Entry a
Compound: PtSeCl2
Source: the Alexandria database
Functional: PBEsol
Structure: relaxed

Results
total magnetization = 0.00 μB/f.u.
SG = R3m

a = 3.6002 Å, b = 3.6002 Å, c = 7.7307 Å
α = 76.54°, β = 76.54°, γ = 60.00°
Positions (direct):
Pt 0.5069 0.5069 0.4793
Se 0.2344 0.2344 0.2966
Cl 0.9818 0.9818 0.0547
Cl 0.7769 0.7769 0.6693

=====

Entry b
Compound: PtSeCl2
Source: the Alexandria database
Functional: PBEsol
Structure: relaxed

Results
DOS at the Fermi energy = 5.17 states/eV/f.u.
total magnetization = 0.00 μB/f.u.
SG = P4/mmm

a = 2.9638 Å, b = 4.8557 Å, c = 4.8557 Å
α = 90.00°, β = 90.00°, γ = 90.00°
Positions (direct):
Se 0.5000 0.0000 0.0000
Pt 0.5000 0.5000 0.5000
Cl 0.0000 0.0000 0.5000
Cl 0.0000 0.5000 0.0000

=====

Q: Which of them is the most stable? A: entry a.

=====

Entry a
Compound: SiPt2Cl
Source: the Alexandria database
Functional: PBEsol
Structure: relaxed

Results
DOS at the Fermi energy = 1.77 states/eV/f.u.
total magnetization = 0.00 μB/f.u.
SG = Pmmm

a = 2.8149 Å, b = 4.1426 Å, c = 5.4165 Å
α = 90.00°, β = 90.00°, γ = 90.00°
Positions (direct):
Cl 0.0000 0.5000 0.5000
Pt 0.0000 0.0000 0.0000
Pt 0.5000 0.0000 0.5000
Si 0.5000 0.5000 0.0000

=====

Entry b
Compound: SiPt2Cl
Source: the Alexandria database
Functional: PBEsol
Structure: relaxed

Results
DOS at the Fermi energy = 1.88 states/eV/f.u.
total magnetization = 0.00 μB/f.u.
SG = Immm

a = 2.8359 Å, b = 5.2137 Å, c = 5.2137 Å
α = 65.61°, β = 74.22°, γ = 74.22°
Positions (direct):
Cl 0.0000 0.5000 0.5000
Pt 0.2230 0.7770 0.7770
Pt 0.7770 0.2230 0.2230
Si 0.5000 0.0000 0.0000

=====

Entry c
Compound: SiPt2Cl
Source: the Alexandria database
Functional: PBEsol
Structure: relaxed

Results
DOS at the Fermi energy = 1.43 states/eV/f.u.
total magnetization = 0.00 μB/f.u.
SG = Pmm2

a = 3.2200 Å, b = 3.3284 Å, c = 6.5110 Å
α = 90.00°, β = 90.00°, γ = 90.00°
Positions (direct):
Cl 0.5000 0.5000 0.7908
Pt 0.0000 0.0000 0.0323
Pt 0.5000 0.5000 0.2856
Si 0.0000 0.0000 0.3912

=====

Q: Which of them is the most stable? A: entry b.

=====

Entry a
Compound: Si2PtCl
Source: the Alexandria database
Functional: PBEsol
Structure: relaxed

Results
DOS at the Fermi energy = 1.97 states/eV/f.u.
total magnetization = 0.00 μB/f.u.
SG = Immm

a = 3.2690 Å, b = 4.9664 Å, c = 4.9664 Å
α = 70.97°, β = 70.79°, γ = 70.79°
Positions (direct):
Cl 0.5000 0.0000 0.0000
Pt 0.0000 0.5000 0.5000
Si 0.2630 0.7370 0.7370
Si 0.7370 0.2630 0.2630

=====

Entry b
Compound: Si2PtCl
Source: the Alexandria database
Functional: PBEsol
Structure: relaxed

Results
DOS at the Fermi energy = 1.88 states/eV/f.u.
total magnetization = 0.00 μB/f.u.
SG = R-3m

a = 3.5133 Å, b = 3.5133 Å, c = 6.9570 Å
α = 75.37°, β = 75.37°, γ = 60.00°
Positions (direct):
Cl 0.5000 0.5000 0.5000
Pt 0.0000 0.0000 0.0000
Si 0.2653 0.2653 0.2040
Si 0.7347 0.7347 0.7960

=====

Q: Which of them is the most stable? A: entry b.